1.
DFT (PBE) results for a relaxed structure of SiBrCl2.

```
SiBrCl2
1.0
5.2734 0.0454 0.0601
-1.5050 5.0543 0.0601
1.8810 2.5455 3.8130
Cl Si Br
2 1 1
Direct
0.0000 0.0000 0.0000
0.5000 0.5000 0.0000
0.5000 0.0000 0.5000
0.0000 0.5000 0.5000
```

Summary:
formation energy without anion corrections	0.261	eV/atom
crystal system	monoclinic
total energy	-9.7	eV per cell
density	3.0	g/cm3
ΔE to the lowest computed polymorph	862	meV per atom

=====

2.
DFT (PBE) results for a relaxed structure of Y2ZrTe.

```
Y2ZrTe
1.0
-1.0304 5.5824 -0.8532
-4.2669 3.7914 -0.6098
-0.7756 2.0968 5.1175
Te Y Zr
1 2 1
Direct
0.2500 0.2500 0.2500
0.5141 0.5141 0.4869
0.9859 0.9859 0.0131
0.7500 0.7500 0.7500
```

Summary:
formation energy without anion corrections	-0.315	eV/atom
crystal system	monoclinic
total energy	-25.9	eV per cell
density	6.1	g/cm3

=====

3.
DFT (PBE) results for a relaxed structure of ZrCoRh3.

```
ZrCoRh3
1.0
-3.0511 0.2698 3.6362
-1.9628 -4.1173 -1.3415
3.0728 -2.3621 2.7536
Zr Co Rh
1 1 3
Direct
0.0000 0.0000 0.0000
0.5000 0.5000 0.5000
0.0000 0.0000 0.5000
0.5000 0.0000 0.0000
0.0000 0.5000 0.0000
```

Summary:
crystal system	cubic
formation energy	1.29	eV per atom
total energy	-31.3	eV per cell
density	7.1	g/cm3
ΔE to the lowest computed polymorph	885	meV per atom

=====

The lowest density belongs to which entry? SiBrCl2

=====

The lowest density belongs to which entry? SiBrCl2

=====

density of number 3 (ZrCoRh3)? 7.1 g/cm3

=====

Look up the density of the second one. 6.1 g/cm3